No. 1
! PmDy6Ho2Sc3, optimized geometry, DFT GGA-PBE; values from VASP
&SYSTEM
  ibrav = 0, nat = 12, ntyp = 4
/
ATOMIC_SPECIES
Dy 162.50 Dy.upf
Ho 164.93 Ho.upf
Sc 44.96 Sc.upf
Pm 145.00 Pm.upf
ATOMIC_POSITIONS crystal
Dy 0.247 0.247 0.740
Dy 0.913 0.579 0.740
Dy 0.421 0.087 0.260
Dy 0.753 0.753 0.260
Dy 0.579 0.913 0.740
Dy 0.087 0.421 0.260
Ho 0.333 0.667 0.000
Ho 0.667 0.333 0.000
Sc 0.167 0.833 0.500
Sc 0.833 0.167 0.500
Sc 0.500 0.500 0.500
Pm 0.000 0.000 0.000
CELL_PARAMETERS angstrom
-0.407 5.970 -0.853
-2.000 -3.801 -4.252
-9.410 -0.730 6.508
! E_form: 0.04 eV per atom
! crystal system: monoclinic
! V: 29.8 Å³ per atom
! SG: C2/m (12)
! ρ: 7.367 g/cm3


No. 2
! Er3TmSc7, optimized geometry, DFT GGA-PBE; values from VASP
&SYSTEM
  ibrav = 0, nat = 11, ntyp = 3
/
ATOMIC_SPECIES
Sc 44.96 Sc.upf
Tm 168.93 Tm.upf
Er 167.26 Er.upf
ATOMIC_POSITIONS crystal
Sc 0.000 0.500 0.500
Sc 0.712 0.018 0.407
Sc 0.288 0.982 0.593
Sc 0.712 0.407 0.018
Sc 0.288 0.593 0.982
Sc 0.791 0.792 0.792
Sc 0.209 0.208 0.208
Tm 0.500 0.500 0.500
Er 0.000 0.789 0.211
Er 0.500 0.000 0.000
Er 0.000 0.211 0.789
CELL_PARAMETERS angstrom
-0.768 3.632 3.946
-4.121 -6.602 1.552
6.110 -4.727 1.816
! E_form: 0.30 eV per atom
! crystal system: orthorhombic
! V: 27.4 Å³ per atom
! SG: Immm (71)
! ρ: 5.432 g/cm3


No. 3
! Ba2PmBr6, optimized geometry, DFT GGA-PBE; values from VASP
&SYSTEM
  ibrav = 0, nat = 18, ntyp = 3
/
ATOMIC_SPECIES
Br 79.90 Br.upf
Pm 145.00 Pm.upf
Ba 137.33 Ba.upf
ATOMIC_POSITIONS crystal
Br 0.704 0.704 0.352
Br 0.722 0.722 0.000
Br 0.278 0.278 0.000
Br 0.296 0.296 0.648
Br 0.778 0.222 0.500
Br 0.796 0.204 0.852
Br 0.204 0.796 0.148
Br 0.296 0.296 0.352
Br 0.204 0.796 0.852
Br 0.222 0.778 0.500
Br 0.796 0.204 0.148
Br 0.704 0.704 0.648
Pm 0.000 0.000 0.000
Pm 0.500 0.500 0.500
Ba 0.500 0.500 0.177
Ba 0.500 0.500 0.823
Ba 0.000 0.000 0.323
Ba 0.000 0.000 0.677
CELL_PARAMETERS angstrom
-4.404 -2.739 5.571
-0.371 -6.702 -3.588
10.929 -4.139 6.603
! crystal system: tetragonal
! raw formation energy: -1.908 eV/atom
! V: 43.2 Å³ per atom
! SG: P4_2/mnm (136)
! ρ: 3.840 g/cm3


No. 4
! Ca3Ge4Rh2, optimized geometry, DFT GGA-PBE; values from VASP
&SYSTEM
  ibrav = 0, nat = 9, ntyp = 3
/
ATOMIC_SPECIES
Rh 102.91 Rh.upf
Ge 72.64 Ge.upf
Ca 40.08 Ca.upf
ATOMIC_POSITIONS crystal
Rh 0.325 0.650 0.228
Rh 0.675 0.350 0.772
Ge 0.914 0.827 0.360
Ge 0.703 0.407 0.074
Ge 0.086 0.173 0.640
Ge 0.297 0.593 0.926
Ca 0.375 0.750 0.622
Ca 0.000 0.000 0.000
Ca 0.625 0.250 0.378
CELL_PARAMETERS angstrom
4.197 0.000 0.000
-2.098 5.415 0.095
0.000 -2.206 8.270
! E_form: -0.65 eV per atom
! crystal system: monoclinic
! V: 21.0 Å³ per atom
! SG: C2/m (12)
! ρ: 5.422 g/cm3
! relative energy among the computed polymorphs: 5.7 kJ per mole of atoms


No. 5
! TaSb4, optimized geometry, DFT GGA-PBE; values from VASP
&SYSTEM
  ibrav = 0, nat = 5, ntyp = 2
/
ATOMIC_SPECIES
Sb 121.76 Sb.upf
Ta 180.95 Ta.upf
ATOMIC_POSITIONS crystal
Sb 0.425 0.425 0.000
Sb 0.750 0.250 0.500
Sb 0.250 0.750 0.500
Sb 0.575 0.575 0.000
Ta 0.000 0.000 0.000
CELL_PARAMETERS angstrom
4.860 7.720 4.218
0.680 6.531 7.609
-1.156 -8.890 -4.543
! crystal system: tetragonal
! raw formation energy: 0.578 eV/atom
! V: 29.4 Å³ per atom
! SG: I4/mmm (139)
! ρ: 7.555 g/cm3
! relative energy among the computed polymorphs: 25.7 kJ per mole of atoms


No. 6
! Ba2AsAu2, optimized geometry, DFT GGA-PBE; values from VASP
&SYSTEM
  ibrav = 0, nat = 5, ntyp = 3
/
ATOMIC_SPECIES
Ba 137.33 Ba.upf
Au 196.97 Au.upf
As 74.92 As.upf
ATOMIC_POSITIONS crystal
Ba 0.750 0.250 0.500
Ba 0.250 0.750 0.500
Au 0.662 0.662 0.676
Au 0.338 0.338 0.324
As 0.000 0.000 0.000
CELL_PARAMETERS angstrom
6.310 0.000 0.000
0.000 6.310 0.000
3.155 3.155 4.143
! E_form: -0.64 eV per atom
! crystal system: tetragonal
! V: 33.0 Å³ per atom
! SG: I4/mmm (139)
! ρ: 7.485 g/cm3
! relative energy among the computed polymorphs: 0.9 kJ per mole of atoms